1.
# KNa2TlAs, optimized geometry, DFT PBE
# Energy of formation from the pure elements = -52 kJ/mol of formula units
# Calculated total energy = -2.26 eV/atom
# DOS at the Fermi energy = 0.5001 states/eV per atom
# Total magnetic moment = 0.0 μB/cell
data_KNa2TlAs
_space_group_name_H-M_alt 'P 4/m m m'
_space_group_IT_number 123
_space_group_name_Hall '-P 4 2'
_cell_length_a 5.588
_cell_length_b 5.588
_cell_length_c 6.082
_cell_angle_alpha 90.00
_cell_angle_beta 90.00
_cell_angle_gamma 90.00
loop_
_atom_site_label
_atom_site_fract_x
_atom_site_fract_y
_atom_site_fract_z
K1 0.000 0.000 0.000
Na1 0.000 0.500 0.500
Tl1 0.500 0.500 0.000
As1 0.500 0.500 0.500

---

2.
# K2NaZnAs2, optimized geometry, DFT PBE
# Energy of formation from the pure elements = -218 kJ/mol of formula units
# Calculated total energy = -2.73 eV/atom
# DOS at the Fermi energy = 0.9456 states/eV per atom
# Total magnetic moment = 1.3 μB/cell
data_K2NaZnAs2
_space_group_name_H-M_alt 'I b a m'
_space_group_IT_number 72
_space_group_name_Hall '-I 2 2c'
_cell_length_a 6.794
_cell_length_b 15.150
_cell_length_c 6.559
_cell_angle_alpha 90.00
_cell_angle_beta 90.00
_cell_angle_gamma 90.00
loop_
_atom_site_label
_atom_site_fract_x
_atom_site_fract_y
_atom_site_fract_z
K1 0.248 0.172 0.000
Na1 0.000 0.000 0.250
Zn1 0.000 0.500 0.250
As1 0.207 0.404 0.000

---

3.
# K3NbAs, optimized geometry, DFT PBE
# Energy of formation from the pure elements = 467 kJ/mol of formula units
# Calculated total energy = -2.63 eV/atom
# Energy above the lowest structure with this stoichiometry = 0.000 eV per atom
# DOS at the Fermi energy = 1.8291 states/eV per atom
# Total magnetic moment = 4.9 μB/cell
data_K3NbAs
_space_group_name_H-M_alt 'P m -3 m'
_space_group_IT_number 221
_space_group_name_Hall '-P 4 2 3'
_cell_length_a 6.335
_cell_length_b 6.335
_cell_length_c 6.335
_cell_angle_alpha 90.00
_cell_angle_beta 90.00
_cell_angle_gamma 90.00
loop_
_atom_site_label
_atom_site_fract_x
_atom_site_fract_y
_atom_site_fract_z
K1 0.000 0.000 0.500
Nb1 0.500 0.500 0.500
As1 0.000 0.000 0.000

---

4.
# K6NbAs4, optimized geometry, DFT PBE
# Energy of formation from the pure elements = -510 kJ/mol of formula units
# Calculated total energy = -3.69 eV/atom
# DOS at the Fermi energy = 1.0056 states/eV per atom
# Total magnetic moment = 2.3 μB/cell
data_K6NbAs4
_space_group_name_H-M_alt 'P 63 m c'
_space_group_IT_number 186
_space_group_name_Hall 'P 6c -2c'
_cell_length_a 10.4590
_cell_length_b 10.4590
_cell_length_c 8.2616
_cell_angle_alpha 90.00
_cell_angle_beta 90.00
_cell_angle_gamma 120.00
loop_
_atom_site_label
_atom_site_fract_x
_atom_site_fract_y
_atom_site_fract_z
K1 0.0635 0.5317 0.0000
K2 0.1444 0.2888 0.3181
Nb1 0.3333 0.6667 0.6107
As1 0.2011 0.4023 0.7040
As2 0.3333 0.6667 0.3090

---

5.
# K7NbAs4, optimized geometry, DFT PBE
# Energy of formation from the pure elements = -551 kJ/mol of formula units
# Calculated total energy = -3.51 eV/atom
# Total magnetic moment = 0.0 μB/cell
data_K7NbAs4
_space_group_name_H-M_alt 'P m n 21'
_space_group_IT_number 31
_space_group_name_Hall 'P 2ac -2'
_cell_length_a 10.343
_cell_length_b 9.237
_cell_length_c 8.402
_cell_angle_alpha 90.00
_cell_angle_beta 90.00
_cell_angle_gamma 90.00
loop_
_atom_site_label
_atom_site_fract_x
_atom_site_fract_y
_atom_site_fract_z
K1 0.000 0.034 0.000
K2 0.000 0.339 0.785
K3 0.000 0.894 0.514
K4 0.212 0.534 0.496
K5 0.217 0.166 0.332
Nb1 0.000 0.674 0.122
As1 0.000 0.409 0.201
As2 0.000 0.683 0.824
As3 0.203 0.807 0.217

---

6.
# KNbAs3, optimized geometry, DFT PBE
# Energy of formation from the pure elements = -80 kJ/mol of formula units
# Calculated total energy = -5.19 eV/atom
# Energy above the lowest structure with this stoichiometry = 0.000 eV per atom
# DOS at the Fermi energy = 0.4445 states/eV per atom
# Total magnetic moment = 0.0 μB/cell
data_KNbAs3
_space_group_name_H-M_alt 'P m -3 m'
_space_group_IT_number 221
_space_group_name_Hall '-P 4 2 3'
_cell_length_a 5.090
_cell_length_b 5.090
_cell_length_c 5.090
_cell_angle_alpha 90.00
_cell_angle_beta 90.00
_cell_angle_gamma 90.00
loop_
_atom_site_label
_atom_site_fract_x
_atom_site_fract_y
_atom_site_fract_z
K1 0.000 0.000 0.000
Nb1 0.500 0.500 0.500
As1 0.000 0.500 0.500

---

7.
# KNbAs3, optimized geometry, DFT PBE
# Energy of formation from the pure elements = 960 kJ/mol of formula units
# Calculated total energy = -3.03 eV/atom
# Energy above the lowest structure with this stoichiometry = 2.156 eV per atom
# DOS at the Fermi energy = 2.5968 states/eV per atom
# Total magnetic moment = 0.0 μB/cell
data_KNbAs3
_space_group_name_H-M_alt 'P m -3 m'
_space_group_IT_number 221
_space_group_name_Hall '-P 4 2 3'
_cell_length_a 5.081
_cell_length_b 5.081
_cell_length_c 5.081
_cell_angle_alpha 90.00
_cell_angle_beta 90.00
_cell_angle_gamma 90.00
loop_
_atom_site_label
_atom_site_fract_x
_atom_site_fract_y
_atom_site_fract_z
K1 0.000 0.000 0.000
Nb1 0.500 0.500 0.500
As1 0.000 0.000 0.500

---

8.
# KNb2As4, optimized geometry, DFT PBE
# Energy of formation from the pure elements = 530 kJ/mol of formula units
# Calculated total energy = -4.91 eV/atom
# DOS at the Fermi energy = 0.6177 states/eV per atom
# Total magnetic moment = 0.0 μB/cell
data_KNb2As4
_space_group_name_H-M_alt 'I 4/m m m'
_space_group_IT_number 139
_space_group_name_Hall '-I 4 2'
_cell_length_a 5.296
_cell_length_b 5.296
_cell_length_c 13.825
_cell_angle_alpha 90.00
_cell_angle_beta 90.00
_cell_angle_gamma 90.00
loop_
_atom_site_label
_atom_site_fract_x
_atom_site_fract_y
_atom_site_fract_z
K1 0.000 0.000 0.000
Nb1 0.000 0.000 0.411
As1 0.000 0.000 0.239
As2 0.000 0.500 0.000

---

9.
# K2NbNiAs, optimized geometry, DFT PBE
# Energy of formation from the pure elements = 471 kJ/mol of formula units
# Calculated total energy = -3.56 eV/atom
# DOS at the Fermi energy = 1.7450 states/eV per atom
# Total magnetic moment = 4.4 μB/cell
data_K2NbNiAs
_space_group_name_H-M_alt 'P 4/m m m'
_space_group_IT_number 123
_space_group_name_Hall '-P 4 2'
_cell_length_a 6.486
_cell_length_b 6.486
_cell_length_c 4.277
_cell_angle_alpha 90.00
_cell_angle_beta 90.00
_cell_angle_gamma 90.00
loop_
_atom_site_label
_atom_site_fract_x
_atom_site_fract_y
_atom_site_fract_z
K1 0.000 0.500 0.000
Nb1 0.000 0.000 0.500
Ni1 0.500 0.500 0.500
As1 0.500 0.500 0.000

---

10.
# KNb2AsO8, optimized geometry, DFT PBE
# Calculated total energy = -7.43 eV/atom
# DOS at the Fermi energy = 0.0000 states/eV per atom
# Raw formation energy = -1.970 eV per atom
# Total magnetic moment = 0.0 μB/cell
data_KNb2AsO8
_space_group_name_H-M_alt 'C 1 2/m 1'
_space_group_IT_number 12
_space_group_name_Hall '-C 2y'
_cell_length_a 9.281
_cell_length_b 5.576
_cell_length_c 8.569
_cell_angle_alpha 90.00
_cell_angle_beta 107.33
_cell_angle_gamma 90.00
loop_
_atom_site_label
_atom_site_fract_x
_atom_site_fract_y
_atom_site_fract_z
K1 0.000 0.000 0.000
Nb1 0.195 0.000 0.675
As1 0.000 0.500 0.500
O1 0.060 0.267 0.660
O2 0.189 0.500 0.118
O3 0.192 0.500 0.478

---

11.
# K2NbAsO6, optimized geometry, DFT PBE
# Calculated total energy = -6.51 eV/atom
# Raw formation energy = -1.839 eV per atom
# Total magnetic moment = 0.0 μB/cell
data_K2NbAsO6
_space_group_name_H-M_alt 'F m -3 m'
_space_group_IT_number 225
_space_group_name_Hall '-F 4 2 3'
_cell_length_a 7.820
_cell_length_b 7.820
_cell_length_c 7.820
_cell_angle_alpha 90.00
_cell_angle_beta 90.00
_cell_angle_gamma 90.00
loop_
_atom_site_label
_atom_site_fract_x
_atom_site_fract_y
_atom_site_fract_z
K1 0.250 0.250 0.250
Nb1 0.000 0.000 0.000
As1 0.000 0.000 0.500
O1 0.000 0.000 0.259

---

12.
# KNbAsO6, optimized geometry, DFT PBE
# Calculated total energy = -6.73 eV/atom
# DOS at the Fermi energy = 0.4484 states/eV per atom
# Raw formation energy = -1.664 eV per atom
# Total magnetic moment = 2.1 μB/cell
data_KNbAsO6
_space_group_name_H-M_alt 'P -3 1 c'
_space_group_IT_number 163
_space_group_name_Hall '-P 3 2c'
_cell_length_a 5.2771
_cell_length_b 5.2771
_cell_length_c 11.7550
_cell_angle_alpha 90.00
_cell_angle_beta 90.00
_cell_angle_gamma 120.00
loop_
_atom_site_label
_atom_site_fract_x
_atom_site_fract_y
_atom_site_fract_z
K1 0.0000 0.0000 0.0000
Nb1 0.3333 0.6667 0.2500
As1 0.3333 0.6667 0.7500
O1 0.0219 0.4055 0.6597

---

13.
# K3Pa2NbAs6, optimized geometry, DFT PBE
# Energy of formation from the pure elements = -759 kJ/mol of formula units
# Calculated total energy = -5.68 eV/atom
# Total magnetic moment = 0.0 μB/cell
data_K3Pa2NbAs6
_space_group_name_H-M_alt 'C 1 2/m 1'
_space_group_IT_number 12
_space_group_name_Hall '-C 2y'
_cell_length_a 7.124
_cell_length_b 12.339
_cell_length_c 8.098
_cell_angle_alpha 90.00
_cell_angle_beta 107.08
_cell_angle_gamma 90.00
loop_
_atom_site_label
_atom_site_fract_x
_atom_site_fract_y
_atom_site_fract_z
K1 0.000 0.000 0.000
K2 0.000 0.331 0.000
Pa1 0.000 0.166 0.500
Nb1 0.000 0.500 0.500
As1 0.222 0.342 0.690
As2 0.247 0.000 0.691

---

14.
# K8NbAs5Pb, optimized geometry, DFT PBE
# Energy of formation from the pure elements = -687 kJ/mol of formula units
# Calculated total energy = -3.53 eV/atom
# Total magnetic moment = 0.0 μB/cell
data_K8NbAs5Pb
_space_group_name_H-M_alt 'C 1 2/c 1'
_space_group_IT_number 15
_space_group_name_Hall '-C 2yc'
_cell_length_a 32.025
_cell_length_b 9.451
_cell_length_c 13.622
_cell_angle_alpha 90.00
_cell_angle_beta 95.23
_cell_angle_gamma 90.00
loop_
_atom_site_label
_atom_site_fract_x
_atom_site_fract_y
_atom_site_fract_z
K1 0.020 0.119 0.393
K2 0.041 0.475 0.118
K3 0.064 0.170 0.711
K4 0.115 0.458 0.898
K5 0.149 0.172 0.458
K6 0.177 0.036 0.716
K7 0.224 0.342 0.832
K8 0.233 0.454 0.555
Nb1 0.157 0.342 0.183
As1 0.028 0.257 0.922
As2 0.093 0.209 0.238
As3 0.141 0.401 0.651
As4 0.176 0.209 0.029
As5 0.215 0.315 0.315
Pb1 0.091 0.116 0.037

---

15.
# KRb2NbAs, optimized geometry, DFT PBE
# Energy of formation from the pure elements = 485 kJ/mol of formula units
# Calculated total energy = -2.55 eV/atom
# DOS at the Fermi energy = 1.2070 states/eV per atom
# Total magnetic moment = 4.8 μB/cell
data_KRb2NbAs
_space_group_name_H-M_alt 'P 4/m m m'
_space_group_IT_number 123
_space_group_name_Hall '-P 4 2'
_cell_length_a 6.661
_cell_length_b 6.661
_cell_length_c 6.380
_cell_angle_alpha 90.00
_cell_angle_beta 90.00
_cell_angle_gamma 90.00
loop_
_atom_site_label
_atom_site_fract_x
_atom_site_fract_y
_atom_site_fract_z
K1 0.000 0.000 0.000
Rb1 0.000 0.500 0.500
Nb1 0.500 0.500 0.000
As1 0.000 0.000 0.500

---

16.
# KRbNbAs2, optimized geometry, DFT PBE
# Energy of formation from the pure elements = 706 kJ/mol of formula units
# Calculated total energy = -2.82 eV/atom
# DOS at the Fermi energy = 0.9808 states/eV per atom
# Total magnetic moment = 2.9 μB/cell
data_KRbNbAs2
_space_group_name_H-M_alt 'P 4/m m m'
_space_group_IT_number 123
_space_group_name_Hall '-P 4 2'
_cell_length_a 5.783
_cell_length_b 5.783
_cell_length_c 5.392
_cell_angle_alpha 90.00
_cell_angle_beta 90.00
_cell_angle_gamma 90.00
loop_
_atom_site_label
_atom_site_fract_x
_atom_site_fract_y
_atom_site_fract_z
K1 0.000 0.000 0.000
Rb1 0.500 0.500 0.500
Nb1 0.000 0.000 0.500
As1 0.000 0.500 0.000

---

17.
# KNbAs2Se, optimized geometry, DFT PBE
# Calculated total energy = -5.11 eV/atom
# Energy above the lowest structure with this stoichiometry = 0.000 eV per atom
# DOS at the Fermi energy = 0.8300 states/eV per atom
# Raw formation energy = -0.321 eV per atom
# Total magnetic moment = 0.0 μB/cell
data_KNbAs2Se
_space_group_name_H-M_alt 'P 4/m m m'
_space_group_IT_number 123
_space_group_name_Hall '-P 4 2'
_cell_length_a 5.097
_cell_length_b 5.097
_cell_length_c 5.144
_cell_angle_alpha 90.00
_cell_angle_beta 90.00
_cell_angle_gamma 90.00
loop_
_atom_site_label
_atom_site_fract_x
_atom_site_fract_y
_atom_site_fract_z
K1 0.000 0.000 0.000
Nb1 0.500 0.500 0.500
As1 0.000 0.500 0.500
Se1 0.500 0.500 0.000

---

18.
# KNbAs2Se, optimized geometry, DFT PBE
# Calculated total energy = -2.94 eV/atom
# Energy above the lowest structure with this stoichiometry = 2.168 eV per atom
# DOS at the Fermi energy = 1.9991 states/eV per atom
# Raw formation energy = 1.847 eV per atom
# Total magnetic moment = 0.1 μB/cell
data_KNbAs2Se
_space_group_name_H-M_alt 'P 4/m m m'
_space_group_IT_number 123
_space_group_name_Hall '-P 4 2'
_cell_length_a 5.095
_cell_length_b 5.095
_cell_length_c 5.280
_cell_angle_alpha 90.00
_cell_angle_beta 90.00
_cell_angle_gamma 90.00
loop_
_atom_site_label
_atom_site_fract_x
_atom_site_fract_y
_atom_site_fract_z
K1 0.000 0.000 0.000
Nb1 0.500 0.500 0.500
As1 0.000 0.500 0.000
Se1 0.000 0.000 0.500

---

19.
# K3Nb2AsSe11, optimized geometry, DFT PBE
# Calculated total energy = -4.64 eV/atom
# Raw formation energy = -0.733 eV per atom
# Total magnetic moment = 0.0 μB/cell
data_K3Nb2AsSe11
_space_group_name_H-M_alt 'C 1 c 1'
_space_group_IT_number 9
_space_group_name_Hall 'C -2yc'
_cell_length_a 15.260
_cell_length_b 13.435
_cell_length_c 10.044
_cell_angle_alpha 90.00
_cell_angle_beta 99.21
_cell_angle_gamma 90.00
loop_
_atom_site_label
_atom_site_fract_x
_atom_site_fract_y
_atom_site_fract_z
K1 0.000 0.070 0.000
K2 0.254 0.427 0.842
K3 0.380 0.083 0.745
Nb1 0.113 0.204 0.415
Nb2 0.299 0.274 0.232
As1 0.035 0.341 0.686
Se1 0.101 0.180 0.674
Se2 0.105 0.398 0.492
Se3 0.130 0.338 0.211
Se4 0.171 0.250 0.022
Se5 0.193 0.098 0.251
Se6 0.199 0.038 0.476
Se7 0.289 0.297 0.490
Se8 0.368 0.423 0.172
Se9 0.381 0.155 0.077
Se10 0.407 0.194 0.429
Se11 0.462 0.331 0.830